First-principles (PBE) data for a geometry-optimized SiBRhAuCS structure, as listed in Alexandria.

Structure (extended XYZ):
```
6
Lattice="3.065 0.000 0.000 0.029 5.397 0.000 0.145 1.637 5.545" Properties=species:S:1:pos:R:3 pbc="T T T"
Si 0.000 0.000 0.000
B 3.210 4.085 5.460
Rh 1.677 3.043 4.467
Au 3.181 5.477 3.705
C 3.110 4.723 1.707
S 3.081 3.047 1.710
```

Energy, eV per atom: -5.70
E above lowest polymorph, meV/atom: 131
Raw formation energy, eV/atom: 0.310
Symmetry: P1 (1)

***

First-principles (PBE) data for a geometry-optimized Hf4InC structure, as listed in Alexandria.

Structure (extended XYZ):
```
6
Lattice="5.136 0.000 0.000 0.000 3.246 0.000 -2.305 0.000 7.352" Properties=species:S:1:pos:R:3 pbc="T T T"
Hf 0.276 0.000 1.715
Hf 0.101 1.623 4.391
Hf 2.730 1.623 2.961
Hf 2.555 0.000 5.636
In 2.568 1.623 0.000
C 1.416 0.000 3.676
```

Energy, eV per atom: -8.91
Formation energy, eV/f.u.: -1.68
E above lowest polymorph, meV/atom: 0
Symmetry: P2/m (10)

***

First-principles (PBE) data for a geometry-optimized HfInGa structure, as listed in Alexandria.

Structure (extended XYZ):
```
3
Lattice="4.741 0.000 0.000 -2.371 4.106 0.000 0.000 0.000 3.093" Properties=species:S:1:pos:R:3 pbc="T T T"
Hf 0.000 0.000 0.000
In 2.371 1.369 1.538
Ga 0.000 2.737 1.571
```

Energy, eV per atom: -5.29
Formation energy, eV/f.u.: -0.15
E above lowest polymorph, meV/atom: 125
Symmetry: P3m1 (156)